## Na2CdAu (PBE-GGA)

Data for a relaxed structure of Na2CdAu.

- formation energy from the elements (meV per atom) = -97.0

abc: 6.6237 6.6237 6.6237
angles: 100.51 100.51 129.44
Positions (direct):
Na  0.0920  0.1250  0.4670
Na  0.3750  0.9080  0.0330
Na  0.6580  0.6250  0.5330
Na  0.8750  0.3420  0.9670
Cd  0.2500  0.7500  0.5000
Cd  0.5000  0.5000  0.0000
Au  0.0000  0.0000  0.0000
Au  0.7500  0.2500  0.5000

***

## NaCd6Au2 (PBE-GGA)

Data for a relaxed structure of NaCd6Au2.

- ΔE to the lowest computed polymorph (meV/atom) = 0
- formation energy from the elements (meV per atom) = -138.3

abc: 5.1853 5.1853 9.3505
angles: 100.44 100.44 53.72
Positions (direct):
Na  0.0000  0.0000  0.0000
Cd  0.0197  0.0197  0.3369
Cd  0.2972  0.2972  0.8461
Cd  0.3367  0.3367  0.4634
Cd  0.6633  0.6633  0.5366
Cd  0.7028  0.7028  0.1539
Cd  0.9803  0.9803  0.6631
Au  0.3917  0.3917  0.1695
Au  0.6083  0.6083  0.8305

***

## Na5CdAu6 (PBE-GGA)

Data for a relaxed structure of Na5CdAu6.

- formation energy from the elements (meV per atom) = -260.0

abc: 7.9138 7.9138 4.7090
angles: 94.36 94.36 58.15
Positions (direct):
Na  0.0000  0.0000  0.0000
Na  0.1613  0.1613  0.6538
Na  0.3266  0.3266  0.3405
Na  0.6734  0.6734  0.6595
Na  0.8387  0.8387  0.3462
Cd  0.5000  0.5000  0.0000
Au  0.0942  0.5767  0.8479
Au  0.2665  0.7335  0.5000
Au  0.4233  0.9058  0.1521
Au  0.5767  0.0942  0.8479
Au  0.7335  0.2665  0.5000
Au  0.9058  0.4233  0.1521

***

Question: formation energy from the elements of number 1 (Na2CdAu)?
Answer: -97.0 meV per atom

***

Question: Which of these has the lowest formation energy from the elements?
Answer: Na5CdAu6